1.
Below is crystalline InCuW2 at its relaxed geometry, with properties calculated at the GGA-PBE level.

## Properties
ΔE_f: 0.465 eV per atom
E_tot: -30.9 eV for the cell shown
Total magnetization: 0.0 Bohr magnetons per cell

a = 2.7687 Å, b = 2.7687 Å, c = 8.5918 Å
α = 90.00°, β = 90.00°, γ = 90.00°
Last column: nearest neighbours and their distance in Å.
Element x y z (fractional)
In 0.0000 0.0000 0.0000  4 In 2.77, 4 Cu 2.88, 4 W 3.04
Cu 0.5000 0.5000 0.7543  4 W 2.73, 4 Cu 2.77, 4 In 2.88
W 0.0000 0.0000 0.5323  4 Cu 2.73, 8 W 2.77-2.98
W 0.5000 0.5000 0.2713  8 W 2.77-2.98, 4 In 3.04


2.
Below is crystalline Tb13Pr2 at its relaxed geometry, with properties calculated at the GGA-PBE level.

## Properties
ΔE_f: 0.065 eV per atom
E_tot: -68.8 eV for the cell shown
Total magnetization: 0.0 Bohr magnetons per cell

a = 6.6744 Å, b = 8.9947 Å, c = 9.0066 Å
α = 65.64°, β = 81.98°, γ = 81.82°
Last column: nearest neighbours and their distance in Å.
Element x y z (fractional)
Tb 0.0000 0.0000 0.0000  12 Tb 3.51-3.78, 2 Pr 3.64
Tb 0.0937 0.4410 0.7615  2 Pr 3.27-3.52, 5 Tb 3.27-3.65
Tb 0.2037 0.2056 0.1930  12 Tb 3.50-3.78, 2 Pr 3.68-3.86
Tb 0.2945 0.9755 0.6257  2 Pr 3.25-3.49, 3 Tb 3.26-3.50
Tb 0.3003 0.6384 0.9616  7 Tb 3.28-3.66
Tb 0.4036 0.4021 0.3955  11 Tb 3.50-3.76, 3 Pr 3.66-3.86
Tb 0.4872 0.1671 0.8362  5 Tb 3.23-3.61, 1 Pr 3.24
Tb 0.5128 0.8329 0.1638  5 Tb 3.23-3.61, 1 Pr 3.24
Tb 0.5964 0.5979 0.6045  11 Tb 3.50-3.76, 3 Pr 3.66-3.86
Tb 0.6997 0.3617 0.0384  7 Tb 3.28-3.66
Tb 0.7055 0.0245 0.3743  2 Pr 3.25-3.49, 3 Tb 3.26-3.50
Tb 0.7963 0.7944 0.8070  12 Tb 3.50-3.78, 2 Pr 3.68-3.86
Tb 0.9063 0.5590 0.2385  2 Pr 3.27-3.52, 5 Tb 3.27-3.65
Pr 0.1139 0.7716 0.4231  5 Tb 3.24-3.52
Pr 0.8861 0.2284 0.5769  5 Tb 3.24-3.52


3.
Below is crystalline YTlHg3 at its relaxed geometry, with properties calculated at the GGA-PBE level.

## Properties
Energy above the lowest structure with this stoichiometry: 33.6 meV/atom
ΔE_f: -0.157 eV per atom
E_tot: -21.0 eV for the cell shown
Total magnetization: 0.0 Bohr magnetons per cell

a = 8.5823 Å, b = 8.5823 Å, c = 5.6614 Å
α = 90.00°, β = 90.00°, γ = 137.15°
Last column: nearest neighbours and their distance in Å.
Element x y z (fractional)
Y 0.1810 0.8190 0.7500  8 Hg 3.05-3.24, 2 Tl 3.32
Y 0.8190 0.1810 0.2500  8 Hg 3.05-3.24, 2 Tl 3.32
Tl 0.3878 0.6122 0.2500  2 Y 3.32, 4 Hg 3.33
Tl 0.6122 0.3878 0.7500  2 Y 3.32, 4 Hg 3.33
Hg 0.0000 0.0000 0.0000  2 Hg 2.83
Hg 0.0000 0.0000 0.5000  2 Hg 2.83
Hg 0.0880 0.4011 0.7500  3 Y 3.05-3.24, 4 Hg 3.07-3.26, 2 Tl 3.33
Hg 0.4011 0.0880 0.2500  3 Y 3.05-3.24, 4 Hg 3.07-3.26, 2 Tl 3.33
Hg 0.5989 0.9120 0.7500  3 Y 3.05-3.24, 4 Hg 3.07-3.26, 2 Tl 3.33
Hg 0.9120 0.5989 0.2500  3 Y 3.05-3.24, 4 Hg 3.07-3.26, 2 Tl 3.33


4.
Below is crystalline NaSmEr4S8 at its relaxed geometry, with properties calculated at the GGA-PBE level.

## Properties
E_tot: -84.6 eV for the cell shown
Total magnetization: 0.0 Bohr magnetons per cell
Energy relative to the elements, uncorrected: -1950 meV per atom

a = 8.1178 Å, b = 8.1178 Å, c = 8.1178 Å
α = 59.36°, β = 59.36°, γ = 59.36°
Last column: nearest neighbours and their distance in Å.
Element x y z (fractional)
Na 0.0000 0.0000 0.0000  4 S 2.69-2.70
Sm 0.3690 0.3690 0.3690  6 S 2.74-2.87
Er 0.3687 0.3687 0.8868  6 S 2.66-2.82
Er 0.3687 0.8868 0.3687  6 S 2.66-2.82
Er 0.7476 0.7476 0.7476  4 S 2.61-2.64
Er 0.8868 0.3687 0.3687  6 S 2.66-2.82
S 0.1299 0.1299 0.5910  2 Er 2.66, 1 Na 2.69, 1 Sm 2.74
S 0.1299 0.5910 0.1299  2 Er 2.66, 1 Na 2.69, 1 Sm 2.74
S 0.1352 0.1352 0.1352  3 Er 2.67, 1 Na 2.70
S 0.1446 0.6197 0.6197  3 Er 2.61-2.81, 1 Sm 2.87
S 0.5910 0.1299 0.1299  2 Er 2.66, 1 Na 2.69, 1 Sm 2.74
S 0.6152 0.6152 0.6152  4 Er 2.64-2.82
S 0.6197 0.1446 0.6197  3 Er 2.61-2.81, 1 Sm 2.87
S 0.6197 0.6197 0.1446  3 Er 2.61-2.81, 1 Sm 2.87


5.
Below is crystalline NaPuPO6 at its relaxed geometry, with properties calculated at the GGA-PBE level.

## Properties
E_tot: -69.2 eV for the cell shown
Total magnetization: 2.0 Bohr magnetons per cell
Energy relative to the elements, uncorrected: -2043 meV per atom

a = 5.1504 Å, b = 5.1504 Å, c = 5.1286 Å
α = 90.00°, β = 90.00°, γ = 120.00°
Last column: nearest neighbours and their distance in Å.
Element x y z (fractional)
Na 0.0000 0.0000 0.0000  6 O 2.49
Pu 0.3333 0.6667 0.5000  6 O 2.09
P 0.6667 0.3333 0.5000  6 O 1.73
O 0.3967 0.0519 0.6933  1 P 1.73
O 0.3967 0.3448 0.3067  1 P 1.73
O 0.6552 0.0519 0.3067  1 P 1.73
O 0.6552 0.6033 0.6933  1 P 1.73
O 0.9481 0.3448 0.6933  1 P 1.73
O 0.9481 0.6033 0.3067  1 P 1.73


6.
Below is crystalline Cs2CuSiPt at its relaxed geometry, with properties calculated at the GGA-PBE level.

## Properties
E_tot: -14.2 eV for the cell shown
Total magnetization: 0.6 Bohr magnetons per cell
Energy relative to the elements, uncorrected: 620 meV per atom

a = 6.5989 Å, b = 6.5989 Å, c = 4.3991 Å
α = 90.00°, β = 90.00°, γ = 90.00°
Last column: nearest neighbours and their distance in Å.
Element x y z (fractional)
Cs 0.0000 0.5000 0.0000  2 Cu 3.30
Cs 0.5000 0.0000 0.0000  2 Cu 3.30
Cu 0.0000 0.0000 0.0000  2 Si 2.20
Si 0.0000 0.0000 0.5000  2 Cu 2.20
Pt 0.5000 0.5000 0.5000  8 Cs 3.97, 2 Pt 4.40


7.
Below is crystalline CuTc2Ni at its relaxed geometry, with properties calculated at the GGA-PBE level.

## Properties
Energy above the lowest structure with this stoichiometry: 0.0 meV/atom
ΔE_f: 0.100 eV per atom
E_tot: -30.2 eV for the cell shown
Total magnetization: 0.0 Bohr magnetons per cell

a = 2.5726 Å, b = 4.3340 Å, c = 4.6632 Å
α = 90.00°, β = 90.00°, γ = 90.00°
Last column: nearest neighbours and their distance in Å.
Element x y z (fractional)
Cu 0.0000 0.0000 0.0000  2 Ni 2.55, 2 Cu 2.57, 8 Tc 2.63-2.69
Tc 0.5000 0.0000 0.5073  4 Tc 2.57-2.59, 4 Cu 2.63-2.69, 4 Ni 2.70
Tc 0.5000 0.5000 0.2034  4 Tc 2.57-2.59, 4 Ni 2.63-2.70, 4 Cu 2.69
Ni 0.0000 0.5000 0.7123  2 Cu 2.55, 2 Ni 2.57, 8 Tc 2.63-2.70


8.
Below is crystalline GaAsF at its relaxed geometry, with properties calculated at the GGA-PBE level.

## Properties
E_tot: -25.0 eV for the cell shown
Total magnetization: 0.0 Bohr magnetons per cell
Energy relative to the elements, uncorrected: -992 meV per atom

a = 4.6836 Å, b = 4.6836 Å, c = 7.3334 Å
α = 114.74°, β = 114.74°, γ = 49.41°
Last column: nearest neighbours and their distance in Å.
Element x y z (fractional)
Ga 0.0410 0.0410 0.3571  1 F 1.89
Ga 0.9590 0.9590 0.6429  1 F 1.89
As 0.4105 0.4105 0.0861  1 As 2.39, 2 Ga 2.64
As 0.5895 0.5895 0.9139  1 As 2.39, 2 Ga 2.64
F 0.2749 0.2749 0.3917  1 Ga 1.89
F 0.7251 0.7251 0.6083  1 Ga 1.89


9.
Below is crystalline Ce6GaS12 at its relaxed geometry, with properties calculated at the GGA-PBE level.

## Properties
E_tot: -120.8 eV for the cell shown
Total magnetization: 3.2 Bohr magnetons per cell
Energy relative to the elements, uncorrected: -1717 meV per atom

a = 7.9106 Å, b = 7.9106 Å, c = 7.9106 Å
α = 99.62°, β = 99.62°, γ = 99.62°
Last column: nearest neighbours and their distance in Å.
Element x y z (fractional)
Ce 0.1198 0.6324 0.7953  7 S 2.74-2.95
Ce 0.2047 0.8802 0.3676  7 S 2.74-2.95
Ce 0.3676 0.2047 0.8802  7 S 2.74-2.95
Ce 0.6324 0.7953 0.1198  7 S 2.74-2.95
Ce 0.7953 0.1198 0.6324  7 S 2.74-2.95
Ce 0.8802 0.3676 0.2047  7 S 2.74-2.95
Ga 0.5000 0.5000 0.5000  6 S 2.50
S 0.0662 0.3227 0.9175  4 Ce 2.74-2.91
S 0.0825 0.9338 0.6773  4 Ce 2.74-2.91
S 0.1904 0.5416 0.4400  1 Ga 2.50
S 0.3227 0.9175 0.0662  4 Ce 2.74-2.91
S 0.4400 0.1904 0.5416  1 Ga 2.50
S 0.4584 0.5600 0.8096  1 Ga 2.50
S 0.5416 0.4400 0.1904  1 Ga 2.50
S 0.5600 0.8096 0.4584  1 Ga 2.50
S 0.6773 0.0825 0.9338  4 Ce 2.74-2.91
S 0.8096 0.4584 0.5600  1 Ga 2.50
S 0.9175 0.0662 0.3227  4 Ce 2.74-2.91
S 0.9338 0.6773 0.0825  4 Ce 2.74-2.91


10.
Below is crystalline YTm2Zn2 at its relaxed geometry, with properties calculated at the GGA-PBE level.

## Properties
ΔE_f: -0.283 eV per atom
E_tot: -38.7 eV for the cell shown
Total magnetization: 0.0 Bohr magnetons per cell

a = 3.5675 Å, b = 5.1115 Å, c = 13.2102 Å
α = 90.00°, β = 97.76°, γ = 90.00°
Last column: nearest neighbours and their distance in Å.
Element x y z (fractional)
Y 0.1430 0.2500 0.2875  6 Zn 3.08-3.12, 2 Tm 3.45
Y 0.8570 0.7500 0.7125  6 Zn 3.08-3.12, 2 Tm 3.45
Tm 0.0460 0.7500 0.0923  8 Zn 3.03-3.12
Tm 0.2327 0.7500 0.4648  2 Zn 3.00-3.01, 4 Tm 3.25
Tm 0.7673 0.2500 0.5352  2 Zn 3.00-3.01, 4 Tm 3.25
Tm 0.9540 0.2500 0.9077  8 Zn 3.03-3.12
Zn 0.3601 0.2500 0.7199  4 Tm 3.00-3.04, 4 Y 3.12
Zn 0.4521 0.7500 0.9048  6 Tm 3.03-3.12, 2 Y 3.08-3.09
Zn 0.5479 0.2500 0.0952  6 Tm 3.03-3.12, 2 Y 3.08-3.09
Zn 0.6399 0.7500 0.2801  4 Tm 3.00-3.04, 4 Y 3.12